Entry 1:
{"formula": "PmDyFe", "functional": "PBE", "state": "optimized geometry", "lattice_angstrom": [[3.475, -6.035, 0.000], [3.475, 6.035, 0.000], [0.000, 0.000, 7.379]], "species": ["Pm", "Pm", "Pm", "Pm", "Dy", "Dy", "Dy", "Dy", "Fe", "Fe", "Fe", "Fe"], "frac_coords": [[0.198, 0.802, 0.887], [0.302, 0.698, 0.387], [0.698, 0.302, 0.613], [0.802, 0.198, 0.113], [0.208, 0.292, 0.750], [0.292, 0.208, 0.250], [0.708, 0.792, 0.750], [0.792, 0.708, 0.250], [0.091, 0.909, 0.542], [0.409, 0.591, 0.042], [0.591, 0.409, 0.958], [0.909, 0.091, 0.458]], "relative_energy_ev_per_atom": 0.000}

***

Entry 2:
{"formula": "PmDyFe", "functional": "PBE", "state": "optimized geometry", "lattice_angstrom": [[3.388, 0.000, 0.000], [0.000, 3.388, 0.000], [0.000, 0.000, 12.973]], "species": ["Pm", "Pm", "Dy", "Dy", "Fe", "Fe"], "frac_coords": [[0.000, 0.000, 0.000], [0.500, 0.500, 0.500], [0.000, 0.000, 0.750], [0.500, 0.500, 0.250], [0.000, 0.000, 0.371], [0.500, 0.500, 0.871]], "relative_energy_ev_per_atom": 0.037}

***

Entry 3:
{"formula": "PmDy2Fe", "functional": "PBE", "state": "optimized geometry", "lattice_angstrom": [[3.367, 0.000, 0.000], [0.000, 3.367, 0.000], [0.000, 0.000, 9.107]], "species": ["Pm", "Dy", "Dy", "Fe"], "frac_coords": [[0.000, 0.000, 0.000], [0.500, 0.500, 0.324], [0.500, 0.500, 0.676], [0.000, 0.000, 0.500]], "relative_energy_ev_per_atom": 0.000}

***

Entry 4:
{"formula": "PmDyFe4", "functional": "PBE", "state": "optimized geometry", "lattice_angstrom": [[0.000, 3.670, 3.670], [3.670, 0.000, 3.670], [3.670, 3.670, 0.000]], "species": ["Pm", "Dy", "Fe", "Fe", "Fe", "Fe"], "frac_coords": [[0.000, 0.000, 0.000], [0.250, 0.250, 0.250], [0.126, 0.625, 0.625], [0.625, 0.126, 0.625], [0.625, 0.625, 0.126], [0.625, 0.625, 0.625]], "e_tot_ev_per_atom": -7.22}

***

Entry 5:
{"formula": "PmDy3Fe", "functional": "PBE", "state": "optimized geometry", "lattice_angstrom": [[5.287, 0.000, 0.000], [0.000, 5.287, 0.000], [0.000, 0.000, 5.287]], "species": ["Pm", "Dy", "Dy", "Dy", "Fe"], "frac_coords": [[0.000, 0.000, 0.000], [0.000, 0.500, 0.500], [0.500, 0.000, 0.500], [0.500, 0.500, 0.000], [0.500, 0.500, 0.500]], "e_tot_ev_per_atom": -5.29}

***

Entry 6:
{"formula": "Pm2DyFe", "functional": "PBE", "state": "optimized geometry", "lattice_angstrom": [[3.458, 0.000, 0.000], [-1.729, 2.995, 0.000], [0.000, 0.000, 32.826]], "species": ["Pm", "Pm", "Pm", "Pm", "Pm", "Pm", "Dy", "Dy", "Dy", "Fe", "Fe", "Fe"], "frac_coords": [[0.000, 0.000, 0.076], [0.000, 0.000, 0.924], [0.333, 0.667, 0.591], [0.333, 0.667, 0.743], [0.667, 0.333, 0.257], [0.667, 0.333, 0.409], [0.000, 0.000, 0.500], [0.333, 0.667, 0.167], [0.667, 0.333, 0.833], [0.000, 0.000, 0.000], [0.333, 0.667, 0.667], [0.667, 0.333, 0.333]], "e_tot_ev_per_atom": -5.04}

***

Entry 7:
{"formula": "Pm2DyFe9", "functional": "PBE", "state": "optimized geometry", "lattice_angstrom": [[2.570, 1.484, 8.235], [-2.570, 1.484, 8.235], [0.000, -2.968, 8.235]], "species": ["Pm", "Pm", "Dy", "Fe", "Fe", "Fe", "Fe", "Fe", "Fe", "Fe", "Fe", "Fe"], "frac_coords": [[0.141, 0.141, 0.141], [0.859, 0.859, 0.859], [0.000, 0.000, 0.000], [0.083, 0.578, 0.578], [0.333, 0.333, 0.333], [0.422, 0.422, 0.917], [0.422, 0.917, 0.422], [0.500, 0.500, 0.500], [0.578, 0.083, 0.578], [0.578, 0.578, 0.083], [0.667, 0.667, 0.667], [0.917, 0.422, 0.422]], "e_tot_ev_per_atom": -7.53}

***

Entry 8:
{"formula": "PrDyFe", "functional": "PBE", "state": "optimized geometry", "lattice_angstrom": [[3.452, 0.000, 0.000], [0.000, 3.452, 0.000], [0.000, 0.000, 13.009]], "species": ["Pr", "Pr", "Dy", "Dy", "Fe", "Fe"], "frac_coords": [[0.000, 0.000, 0.000], [0.500, 0.500, 0.500], [0.000, 0.000, 0.745], [0.500, 0.500, 0.245], [0.000, 0.000, 0.365], [0.500, 0.500, 0.865]], "relative_energy_ev_per_atom": 0.057}

***

Entry 9:
{"formula": "PrDy2Fe", "functional": "PBE", "state": "optimized geometry", "lattice_angstrom": [[3.504, 0.000, 0.000], [-1.752, 3.034, 0.000], [0.000, 0.000, 32.117]], "species": ["Pr", "Pr", "Pr", "Dy", "Dy", "Dy", "Dy", "Dy", "Dy", "Fe", "Fe", "Fe"], "frac_coords": [[0.000, 0.000, 0.000], [0.333, 0.667, 0.667], [0.667, 0.333, 0.333], [0.000, 0.000, 0.110], [0.000, 0.000, 0.890], [0.333, 0.667, 0.557], [0.333, 0.667, 0.776], [0.667, 0.333, 0.224], [0.667, 0.333, 0.443], [0.000, 0.000, 0.500], [0.333, 0.667, 0.167], [0.667, 0.333, 0.833]], "relative_energy_ev_per_atom": 0.227}

***

Entry 10:
{"formula": "PrDyFe", "functional": "PBE", "state": "optimized geometry", "lattice_angstrom": [[3.504, -6.118, 0.000], [3.504, 6.118, 0.000], [0.000, 0.000, 7.400]], "species": ["Pr", "Pr", "Pr", "Pr", "Dy", "Dy", "Dy", "Dy", "Fe", "Fe", "Fe", "Fe"], "frac_coords": [[0.198, 0.802, 0.888], [0.302, 0.698, 0.388], [0.698, 0.302, 0.612], [0.802, 0.198, 0.112], [0.209, 0.291, 0.750], [0.291, 0.209, 0.250], [0.709, 0.791, 0.750], [0.791, 0.709, 0.250], [0.089, 0.911, 0.541], [0.411, 0.589, 0.041], [0.589, 0.411, 0.959], [0.911, 0.089, 0.459]], "relative_energy_ev_per_atom": 0.000}

***

Entry 11:
{"formula": "PrDy2Fe", "functional": "PBE", "state": "optimized geometry", "lattice_angstrom": [[3.380, 0.000, 0.000], [0.000, 3.380, 0.000], [0.000, 0.000, 9.174]], "species": ["Pr", "Dy", "Dy", "Fe"], "frac_coords": [[0.000, 0.000, 0.000], [0.500, 0.500, 0.326], [0.500, 0.500, 0.674], [0.000, 0.000, 0.500]], "relative_energy_ev_per_atom": 0.000}

***

Entry 12:
{"formula": "Dy6Fe2Pt", "functional": "PBE", "state": "optimized geometry", "lattice_angstrom": [[-4.631, 4.762, 4.817], [4.631, -4.762, 4.817], [4.631, 4.762, -4.817]], "species": ["Dy", "Dy", "Dy", "Dy", "Dy", "Dy", "Dy", "Dy", "Dy", "Dy", "Dy", "Dy", "Fe", "Fe", "Fe", "Fe", "Pt", "Pt"], "frac_coords": [[0.017, 0.817, 0.200], [0.238, 0.543, 0.305], [0.238, 0.933, 0.695], [0.277, 0.317, 0.594], [0.277, 0.683, 0.960], [0.383, 0.183, 0.200], [0.617, 0.817, 0.800], [0.723, 0.317, 0.040], [0.723, 0.683, 0.406], [0.762, 0.067, 0.305], [0.762, 0.457, 0.695], [0.983, 0.183, 0.800], [0.000, 0.120, 0.120], [0.000, 0.880, 0.880], [0.390, 0.390, 0.000], [0.610, 0.610, 0.000], [0.000, 0.500, 0.500], [0.500, 0.000, 0.500]], "e_tot_ev_per_atom": -5.91}

***

Entry 13:
{"formula": "DyFePt", "functional": "PBE", "state": "optimized geometry", "lattice_angstrom": [[3.382, 0.000, 0.000], [0.000, 3.382, 0.000], [0.000, 0.000, 9.717]], "species": ["Dy", "Dy", "Fe", "Fe", "Pt", "Pt"], "frac_coords": [[0.000, 0.000, 0.181], [0.000, 0.000, 0.819], [0.000, 0.000, 0.500], [0.500, 0.500, 0.000], [0.500, 0.500, 0.360], [0.500, 0.500, 0.640]], "e_tot_ev_per_atom": -6.71}

***

Entry 14:
{"formula": "Dy2FePt", "functional": "PBE", "state": "optimized geometry", "lattice_angstrom": [[3.453, 0.000, 0.000], [0.000, 3.453, 0.000], [0.000, 0.000, 6.814]], "species": ["Dy", "Dy", "Fe", "Pt"], "frac_coords": [[0.000, 0.000, 0.244], [0.000, 0.000, 0.756], [0.500, 0.500, 0.000], [0.500, 0.500, 0.500]], "e_tot_ev_per_atom": -6.48}

***

Entry 15:
{"formula": "Dy2FeSi4Pt3", "functional": "PBE", "state": "optimized geometry", "lattice_angstrom": [[4.086, 0.000, 0.000], [0.000, 4.086, 0.000], [0.000, 0.000, 10.027]], "species": ["Dy", "Dy", "Fe", "Si", "Si", "Si", "Si", "Pt", "Pt", "Pt"], "frac_coords": [[0.000, 0.500, 0.247], [0.500, 0.000, 0.753], [0.500, 0.500, 0.000], [0.000, 0.000, 0.500], [0.000, 0.500, 0.873], [0.500, 0.000, 0.127], [0.500, 0.500, 0.500], [0.000, 0.000, 0.000], [0.000, 0.500, 0.632], [0.500, 0.000, 0.368]], "e_tot_ev_per_atom": -6.75}

***

Entry 16:
{"formula": "Dy2FeSi3Pt4", "functional": "PBE", "state": "optimized geometry", "lattice_angstrom": [[4.162, 0.000, 0.000], [0.000, 4.162, 0.000], [0.000, 0.000, 10.061]], "species": ["Dy", "Dy", "Fe", "Si", "Si", "Si", "Pt", "Pt", "Pt", "Pt"], "frac_coords": [[0.000, 0.500, 0.244], [0.500, 0.000, 0.756], [0.500, 0.500, 0.000], [0.000, 0.000, 0.000], [0.000, 0.500, 0.635], [0.500, 0.000, 0.365], [0.000, 0.000, 0.500], [0.000, 0.500, 0.867], [0.500, 0.000, 0.133], [0.500, 0.500, 0.500]], "e_tot_ev_per_atom": -6.79}

***

Entry 17:
{"formula": "Dy3Pu2Fe4", "functional": "PBE", "state": "optimized geometry", "lattice_angstrom": [[5.382, -2.007, 0.000], [5.382, 2.007, 0.000], [-1.903, 0.000, 8.233]], "species": ["Dy", "Dy", "Dy", "Pu", "Pu", "Fe", "Fe", "Fe", "Fe"], "frac_coords": [[0.000, 0.000, 0.000], [0.376, 0.376, 0.618], [0.624, 0.624, 0.382], [0.327, 0.327, 0.219], [0.673, 0.673, 0.781], [0.085, 0.085, 0.633], [0.270, 0.270, 0.910], [0.730, 0.730, 0.090], [0.915, 0.915, 0.367]], "e_tot_ev_per_atom": -8.60}

***

Entry 18:
{"formula": "DyPuFe2", "functional": "PBE", "state": "optimized geometry", "lattice_angstrom": [[3.322, 0.000, 0.000], [0.000, 3.322, 0.000], [0.000, 0.000, 6.742]], "species": ["Dy", "Pu", "Fe", "Fe"], "frac_coords": [[0.000, 0.000, 0.000], [0.000, 0.000, 0.500], [0.500, 0.500, 0.287], [0.500, 0.500, 0.713]], "e_tot_ev_per_atom": -8.92}

***

Entry 19:
{"formula": "DyPuFe4", "functional": "PBE", "state": "optimized geometry", "lattice_angstrom": [[0.000, 3.591, 3.591], [3.591, 0.000, 3.591], [3.591, 3.591, 0.000]], "species": ["Dy", "Pu", "Fe", "Fe", "Fe", "Fe"], "frac_coords": [[0.000, 0.000, 0.000], [0.750, 0.750, 0.750], [0.376, 0.376, 0.376], [0.376, 0.376, 0.873], [0.376, 0.873, 0.376], [0.873, 0.376, 0.376]], "e_tot_ev_per_atom": -8.69}

***

Entry 20:
{"formula": "Dy2PuFe", "functional": "PBE", "state": "optimized geometry", "lattice_angstrom": [[3.384, 0.000, 0.000], [0.000, 3.384, 0.000], [0.000, 0.000, 8.604]], "species": ["Dy", "Dy", "Pu", "Fe"], "frac_coords": [[0.000, 0.000, 0.190], [0.000, 0.000, 0.810], [0.500, 0.500, 0.500], [0.500, 0.500, 0.000]], "relative_energy_ev_per_atom": 0.000}

***

Entry 21:
{"formula": "DyPu3Fe8", "functional": "PBE", "state": "optimized geometry", "lattice_angstrom": [[2.531, 1.461, 8.288], [-2.531, 1.461, 8.288], [0.000, -2.923, 8.288]], "species": ["Dy", "Pu", "Pu", "Pu", "Fe", "Fe", "Fe", "Fe", "Fe", "Fe", "Fe", "Fe"], "frac_coords": [[0.000, 0.000, 0.000], [0.383, 0.383, 0.383], [0.500, 0.500, 0.500], [0.869, 0.869, 0.869], [0.192, 0.192, 0.192], [0.436, 0.940, 0.940], [0.438, 0.438, 0.940], [0.438, 0.940, 0.438], [0.685, 0.685, 0.685], [0.940, 0.436, 0.940], [0.940, 0.438, 0.438], [0.940, 0.940, 0.436]], "e_tot_ev_per_atom": -9.55}

***

Entry 22:
{"formula": "Dy2PuFe", "functional": "PBE", "state": "optimized geometry", "lattice_angstrom": [[3.404, 0.000, 0.000], [-1.702, 2.948, 0.000], [0.000, 0.000, 31.403]], "species": ["Dy", "Dy", "Dy", "Dy", "Dy", "Dy", "Pu", "Pu", "Pu", "Fe", "Fe", "Fe"], "frac_coords": [[0.000, 0.000, 0.106], [0.000, 0.000, 0.894], [0.333, 0.667, 0.560], [0.333, 0.667, 0.773], [0.667, 0.333, 0.227], [0.667, 0.333, 0.440], [0.000, 0.000, 0.000], [0.333, 0.667, 0.667], [0.667, 0.333, 0.333], [0.000, 0.000, 0.500], [0.333, 0.667, 0.167], [0.667, 0.333, 0.833]], "relative_energy_ev_per_atom": 0.285}

***

Entry 23:
{"formula": "Dy2PuFe2", "functional": "PBE", "state": "optimized geometry", "lattice_angstrom": [[4.803, -2.882, 0.000], [4.803, 2.882, 0.000], [-1.363, 0.000, 7.409]], "species": ["Dy", "Dy", "Dy", "Dy", "Pu", "Pu", "Fe", "Fe", "Fe", "Fe"], "frac_coords": [[0.036, 0.268, 0.151], [0.268, 0.036, 0.651], [0.732, 0.964, 0.349], [0.964, 0.732, 0.849], [0.391, 0.609, 0.250], [0.609, 0.391, 0.750], [0.252, 0.498, 0.492], [0.498, 0.252, 0.992], [0.502, 0.748, 0.008], [0.748, 0.502, 0.508]], "e_tot_ev_per_atom": -8.18}

***

Entry 24:
{"formula": "DyPuFe2", "functional": "PBE", "state": "optimized geometry", "lattice_angstrom": [[4.757, 0.000, 0.000], [0.000, 4.757, 0.000], [0.000, 0.000, 3.295]], "species": ["Dy", "Pu", "Fe", "Fe"], "frac_coords": [[0.000, 0.000, 0.000], [0.500, 0.500, 0.000], [0.000, 0.500, 0.500], [0.500, 0.000, 0.500]], "e_tot_ev_per_atom": -8.87}

***

Entry 25:
{"formula": "DyPu3Fe", "functional": "PBE", "state": "optimized geometry", "lattice_angstrom": [[5.127, 0.000, 0.000], [0.000, 5.127, 0.000], [0.000, 0.000, 5.127]], "species": ["Dy", "Pu", "Pu", "Pu", "Fe"], "frac_coords": [[0.000, 0.000, 0.000], [0.000, 0.500, 0.500], [0.500, 0.000, 0.500], [0.500, 0.500, 0.000], [0.500, 0.500, 0.500]], "e_tot_ev_per_atom": -10.98}

***

Entry 26:
{"formula": "DyPu2Fe9", "functional": "PBE", "state": "optimized geometry", "lattice_angstrom": [[2.478, 1.431, 8.273], [-2.478, 1.431, 8.273], [0.000, -2.861, 8.273]], "species": ["Dy", "Pu", "Pu", "Fe", "Fe", "Fe", "Fe", "Fe", "Fe", "Fe", "Fe", "Fe"], "frac_coords": [[0.000, 0.000, 0.000], [0.147, 0.147, 0.147], [0.853, 0.853, 0.853], [0.080, 0.581, 0.581], [0.334, 0.334, 0.334], [0.419, 0.419, 0.920], [0.419, 0.920, 0.419], [0.500, 0.500, 0.500], [0.581, 0.080, 0.581], [0.581, 0.581, 0.080], [0.666, 0.666, 0.666], [0.920, 0.419, 0.419]], "e_tot_ev_per_atom": -9.03}

***

Number 1: total moment 3.260 μB per cell. Number 2: total moment 0.831 μB per cell. Number 3: total moment 0.001 μB per cell. Number 4: total moment 7.577 μB per cell. Number 5: total moment 0.010 μB per cell. Number 6: total moment 5.404 μB per cell. Number 7: total moment 18.930 μB per cell. Number 8: total moment 2.104 μB per cell. Number 9: total moment 3.102 μB per cell. Number 10: total moment 3.474 μB per cell. Number 11: total moment 0.004 μB per cell. Number 12: total moment 2.216 μB per cell. Number 13: total moment 5.487 μB per cell. Number 14: total moment 1.141 μB per cell. Number 15: total moment 0.000 μB per cell. Number 16: total moment 2.762 μB per cell. Number 17: total moment 5.805 μB per cell. Number 18: total moment 1.867 μB per cell. Number 19: total moment 11.128 μB per cell. Number 20: total moment 8.000 μB per cell. Number 21: total moment 18.176 μB per cell. Number 22: total moment 15.905 μB per cell. Number 23: total moment 5.872 μB per cell. Number 24: total moment 2.007 μB per cell. Number 25: total moment 16.871 μB per cell. Number 26: total moment 23.673 μB per cell.